The following is a PBE with a Hubbard U calculation of MnTlCrTcF after structural relaxation, from the Alexandria database.

Unit cell a=2.968 b=3.980 c=7.965 alpha=104.44 beta=87.66 gamma=89.97
Site moments in Bohr magnetons follow the coordinates.
Element x y z (fractional)
Cr  0.132  0.526  0.535  3.87
Tl  0.651  0.349  0.180  0.01
Mn  0.683  0.156  0.795  4.30
Tc  0.175  0.724  0.931  -0.94
F  0.080  0.016  0.515  0.04

Excess energy over the best structure of this formula in the dataset (meV/atom): 15
Crystal system: monoclinic